Below is a relaxed structure of Hg2PF4, with properties calculated at the PBE level.

Results
- Electronic total energy: -3.50 eV/atom
- ΔE_f (raw): -152.0 kJ per mole of atoms

Structure (extended XYZ):
```
7
Lattice="5.693 -0.579 -1.942 -3.341 4.923 -1.058 -0.078 0.601 6.376" Properties=species:S:1:pos:R:3 pbc="T T T"
F 0.922 1.377 -0.518
P 0.257 0.104 0.352
F 2.623 4.096 2.420
F 1.907 3.197 -1.775
Hg 3.467 0.987 1.345
Hg -1.058 3.723 1.797
F 4.473 0.172 -1.812
```